First-principles (PBE) data for a geometry-optimized MoPIr2 structure, as listed in the Alexandria database.

```
MoPIr2
1.0
-1.966 -1.040 1.742
1.684 -2.189 0.595
2.851 3.661 5.403
P Ir Mo
1 2 1
Cartesian
1.284 0.216 3.870
2.057 2.641 3.899
0.794 1.020 1.505
-0.141 -1.614 1.168
```

**Space group**: P4/mmm, No. 123

First-principles (PBE) data for a geometry-optimized Na3CdPb structure, as listed in the Alexandria database.

```
Na3CdPb
1.0
8.822 -2.478 1.459
-4.797 7.807 -1.459
-1.499 -3.053 5.186
Na Pb Cd
6 2 2
Cartesian
1.680 4.982 0.239
-2.223 1.679 3.055
2.834 -0.073 4.947
4.749 0.598 2.131
-0.308 2.350 0.239
0.846 -2.706 4.947
-1.945 5.653 0.667
4.471 -3.377 4.519
0.346 -0.261 2.598
2.180 2.538 2.589
```

**Space group**: C2/m, No. 12
**Energy above the most stable polymorph in this dataset**: 0.21 eV per formula unit

First-principles (PBE) data for a geometry-optimized Co2Cu2Hg structure, as listed in the Alexandria database.

```
Co2Cu2Hg
1.0
7.082 0.000 0.000
0.000 7.082 0.000
0.000 0.000 2.725
Cu Hg Co
4 2 4
Cartesian
2.658 6.200 0.000
6.200 4.424 0.000
0.883 2.658 0.000
4.424 0.883 0.000
0.000 0.000 0.000
3.541 3.541 0.000
1.195 4.736 1.362
2.347 1.195 1.362
4.736 5.888 1.362
5.888 2.347 1.362
```

**Space group**: P4/mbm, No. 127
**Energy above the most stable polymorph in this dataset**: 0.19 eV per formula unit

First-principles (PBE) data for a geometry-optimized Pm5Tl4Ga structure, as listed in the Alexandria database.

```
Pm5Tl4Ga
1.0
-3.425 -1.556 -0.293
0.852 -2.401 2.784
-7.029 12.958 13.325
Tl Pm Ga
4 5 1
Cartesian
-4.240 7.816 8.038
-1.352 2.493 2.564
-5.677 10.465 10.762
-2.789 5.142 5.288
-1.914 -0.822 2.435
-4.801 4.500 7.908
-7.688 9.823 13.381
-3.352 1.829 5.161
-6.250 7.172 10.655
0.000 0.000 0.000
```

**Space group**: P4/mmm, No. 123

Number 1: calculated formation energy -0.12 eV per atom. Number 2: calculated formation energy -0.07 eV per atom. Number 3: calculated formation energy 0.42 eV per atom. Number 4: calculated formation energy -0.42 eV per atom.